w:
First-principles (PBE) data for an optimized crystal structure of Ba2BiPt2, as listed in Alexandria.

Values from the calculation:
- symmetry = C2/c, No. 15
- spin magnetization (μB per cell) = 0.00

a = 6.3102 Å, b = 6.3102 Å, c = 8.8954 Å
α = 102.61°, β = 102.61°, γ = 59.38°
Last column: nearest neighbours and their distance in Å.
Positions (direct):
Ba 0.0007 0.2941 0.1475  6 Pt 3.32-3.49, 1 Bi 3.70
Ba 0.2941 0.0007 0.6475  6 Pt 3.32-3.49, 1 Bi 3.70
Ba 0.7059 0.9993 0.3525  6 Pt 3.32-3.49, 1 Bi 3.70
Ba 0.9993 0.7059 0.8525  6 Pt 3.32-3.49, 1 Bi 3.70
Bi 0.3608 0.6392 0.2500  4 Pt 2.87-3.13
Bi 0.6392 0.3608 0.7500  4 Pt 2.87-3.13
Pt 0.2192 0.4924 0.5129  1 Pt 2.68, 1 Bi 2.87
Pt 0.4924 0.2192 0.0129  1 Pt 2.68, 1 Bi 2.87
Pt 0.5076 0.7808 0.9871  1 Pt 2.68, 1 Bi 2.87
Pt 0.7808 0.5076 0.4871  1 Pt 2.68, 1 Bi 2.87

---

x:
First-principles (PBE) data for an optimized crystal structure of Ba2BiPt2, as listed in Alexandria.

Values from the calculation:
- symmetry = Immm, No. 71
- spin magnetization (μB per cell) = 0.00

a = 6.2675 Å, b = 6.2675 Å, c = 6.2675 Å
α = 134.40°, β = 120.57°, γ = 77.98°
Last column: nearest neighbours and their distance in Å.
Positions (direct):
Ba 0.2049 0.2049 0.0000  6 Pt 3.37-3.42, 4 Bi 3.69-3.76
Ba 0.7951 0.7951 0.0000  6 Pt 3.37-3.42, 4 Bi 3.69-3.76
Bi 0.5000 0.0000 0.5000  4 Pt 3.00
Pt 0.2164 0.5000 0.7164  1 Pt 2.69, 2 Bi 3.00
Pt 0.7836 0.5000 0.2836  1 Pt 2.69, 2 Bi 3.00

---

The winner here is x, beating the second structure by 1.5 kJ/mol of atoms.

---

w:
First-principles (PBE) data for an optimized crystal structure of Ba2Bi2Pt, as listed in Alexandria.

Values from the calculation:
- symmetry = P4/mbm, No. 127
- spin magnetization (μB per cell) = 0.00

a = 8.5356 Å, b = 8.5356 Å, c = 5.5515 Å
α = 90.00°, β = 90.00°, γ = 90.00°
Last column: nearest neighbours and their distance in Å.
Positions (direct):
Ba 0.1807 0.3193 0.0000  2 Pt 3.13
Ba 0.3193 0.8193 0.0000  2 Pt 3.13
Ba 0.6807 0.1807 0.0000  2 Pt 3.13
Ba 0.8193 0.6807 0.0000  2 Pt 3.13
Bi 0.1202 0.6202 0.5000  1 Bi 2.90
Bi 0.3798 0.1202 0.5000  1 Bi 2.90
Bi 0.6202 0.8798 0.5000  1 Bi 2.90
Bi 0.8798 0.3798 0.5000  1 Bi 2.90
Pt 0.0000 0.0000 0.0000  4 Ba 3.13
Pt 0.5000 0.5000 0.0000  4 Ba 3.13

---

x:
First-principles (PBE) data for an optimized crystal structure of Ba2Bi2Pt, as listed in Alexandria.

Values from the calculation:
- symmetry = I4/mmm, No. 139
- spin magnetization (μB per cell) = 0.00

a = 10.0335 Å, b = 10.0335 Å, c = 10.0335 Å
α = 154.49°, β = 154.49°, γ = 36.39°
Last column: nearest neighbours and their distance in Å.
Positions (direct):
Ba 0.0954 0.0954 0.0000  4 Pt 3.62, 1 Ba 3.64, 4 Bi 3.69
Ba 0.9046 0.9046 0.0000  4 Pt 3.62, 1 Ba 3.64, 4 Bi 3.69
Bi 0.2500 0.7500 0.5000  4 Bi 3.13
Bi 0.7500 0.2500 0.5000  4 Bi 3.13
Pt 0.5000 0.5000 0.0000  8 Ba 3.62

---

The winner here is x, beating the second structure by 7.4 kJ/mol of atoms.

---

w:
First-principles (PBE) data for an optimized crystal structure of Ba2Bi2Pt, as listed in Alexandria.

Values from the calculation:
- symmetry = P4/mbm, No. 127
- spin magnetization (μB per cell) = 0.00

a = 7.8711 Å, b = 7.8711 Å, c = 5.4608 Å
α = 90.00°, β = 90.00°, γ = 90.00°
Last column: nearest neighbours and their distance in Å.
Positions (direct):
Ba 0.1684 0.3316 0.0000  6 Bi 3.40-3.70, 1 Ba 3.75
Ba 0.3316 0.8316 0.0000  6 Bi 3.40-3.70, 1 Ba 3.75
Ba 0.6684 0.1684 0.0000  6 Bi 3.40-3.70, 1 Ba 3.75
Ba 0.8316 0.6684 0.0000  6 Bi 3.40-3.70, 1 Ba 3.75
Bi 0.1489 0.6489 0.5000  2 Pt 3.00, 1 Bi 3.32
Bi 0.3511 0.1489 0.5000  2 Pt 3.00, 1 Bi 3.32
Bi 0.6489 0.8511 0.5000  2 Pt 3.00, 1 Bi 3.32
Bi 0.8511 0.3511 0.5000  2 Pt 3.00, 1 Bi 3.32
Pt 0.0000 0.0000 0.5000  4 Bi 3.00
Pt 0.5000 0.5000 0.5000  4 Bi 3.00

---

x:
First-principles (PBE) data for an optimized crystal structure of Ba2Bi2Pt, as listed in Alexandria.

Values from the calculation:
- symmetry = C2/m, No. 12
- spin magnetization (μB per cell) = 0.00

a = 6.7567 Å, b = 6.7567 Å, c = 12.5604 Å
α = 116.25°, β = 116.25°, γ = 43.60°
Last column: nearest neighbours and their distance in Å.
Positions (direct):
Ba 0.0037 0.0037 0.3379  5 Bi 3.53-3.66, 4 Pt 3.56-3.80
Ba 0.1884 0.1884 0.1223  6 Bi 3.55-3.82, 2 Pt 3.64
Ba 0.8116 0.8116 0.8777  6 Bi 3.55-3.82, 2 Pt 3.64
Ba 0.9963 0.9963 0.6621  5 Bi 3.53-3.66, 4 Pt 3.56-3.80
Bi 0.3318 0.3318 0.4488  3 Pt 2.85-2.97
Bi 0.4918 0.4918 0.1293  1 Pt 2.89
Bi 0.5082 0.5082 0.8707  1 Pt 2.89
Bi 0.6682 0.6682 0.5512  3 Pt 2.85-2.97
Pt 0.2760 0.2760 0.6534  4 Bi 2.85-2.97
Pt 0.7240 0.7240 0.3466  4 Bi 2.85-2.97

---

The winner here is x, beating the second structure by 16.8 kJ/mol of atoms.

---

w:
First-principles (PBE) data for an optimized crystal structure of BaPuBi2, as listed in Alexandria.

Values from the calculation:
- symmetry = P4/mmm, No. 123
- spin magnetization (μB per cell) = 5.52

a = 6.2436 Å, b = 6.2436 Å, c = 3.5140 Å
α = 90.00°, β = 90.00°, γ = 90.00°
Last column: nearest neighbours and their distance in Å.
Positions (direct):
Ba 0.0000 0.0000 0.0000  2 Ba 3.51, 8 Bi 3.58
Pu 0.5000 0.5000 0.0000  2 Pu 3.51, 8 Bi 3.58
Bi 0.0000 0.5000 0.5000  2 Bi 3.51, 4 Pu 3.58, 4 Ba 3.58
Bi 0.5000 0.0000 0.5000  2 Bi 3.51, 4 Pu 3.58, 4 Ba 3.58

---

x:
First-principles (PBE) data for an optimized crystal structure of BaPuBi2, as listed in Alexandria.

Values from the calculation:
- symmetry = P4/mmm, No. 123
- spin magnetization (μB per cell) = 5.71

a = 3.9039 Å, b = 3.9039 Å, c = 8.9738 Å
α = 90.00°, β = 90.00°, γ = 90.00°
Last column: nearest neighbours and their distance in Å.
Positions (direct):
Ba 0.0000 0.0000 0.0000  8 Bi 3.70, 4 Ba 3.90
Pu 0.0000 0.0000 0.5000  8 Bi 3.42
Bi 0.5000 0.5000 0.2752  4 Pu 3.42, 4 Ba 3.70
Bi 0.5000 0.5000 0.7248  4 Pu 3.42, 4 Ba 3.70

---

The winner here is x, beating the second structure by 4.1 kJ/mol of atoms.

---

w:
First-principles (PBE) data for an optimized crystal structure of BaPuBi2, as listed in Alexandria.

Values from the calculation:
- symmetry = Fm-3m, No. 225
- spin magnetization (μB per cell) = 5.70

a = 5.8403 Å, b = 5.8403 Å, c = 5.8403 Å
α = 60.00°, β = 60.00°, γ = 60.00°
Last column: nearest neighbours and their distance in Å.
Positions (direct):
Ba 0.0000 0.0000 0.0000  8 Bi 3.58
Pu 0.5000 0.5000 0.5000  8 Bi 3.58
Bi 0.2500 0.2500 0.2500  4 Ba 3.58, 4 Pu 3.58
Bi 0.7500 0.7500 0.7500  4 Ba 3.58, 4 Pu 3.58

---

x:
First-principles (PBE) data for an optimized crystal structure of BaPuBi2, as listed in Alexandria.

Values from the calculation:
- symmetry = R3m, No. 160
- spin magnetization (μB per cell) = 4.58

a = 8.6378 Å, b = 8.6378 Å, c = 8.6378 Å
α = 31.78°, β = 31.78°, γ = 31.78°
Last column: nearest neighbours and their distance in Å.
Positions (direct):
Ba 0.0000 0.0000 0.0000  6 Bi 3.59-3.68
Pu 0.8293 0.8293 0.8293  6 Bi 3.20-3.23
Bi 0.2331 0.2331 0.2331  3 Pu 3.23
Bi 0.4279 0.4279 0.4279  3 Pu 3.20, 3 Ba 3.59

---

The winner here is x, beating the second structure by 7.8 kJ/mol of atoms.

---

w:
First-principles (PBE) data for an optimized crystal structure of RbBaBi2, as listed in Alexandria.

Values from the calculation:
- symmetry = P4/mmm, No. 123
- spin magnetization (μB per cell) = 0.00

a = 4.7502 Å, b = 4.7502 Å, c = 7.9658 Å
α = 90.00°, β = 90.00°, γ = 90.00°
Last column: nearest neighbours and their distance in Å.
Positions (direct):
Rb 0.0000 0.0000 0.0000  2 Ba 3.98, 8 Bi 4.17
Ba 0.0000 0.0000 0.5000  8 Bi 3.69, 2 Rb 3.98
Bi 0.5000 0.5000 0.3097  1 Bi 3.03
Bi 0.5000 0.5000 0.6903  1 Bi 3.03

---

x:
First-principles (PBE) data for an optimized crystal structure of RbBaBi2, as listed in Alexandria.

Values from the calculation:
- symmetry = I-42d, No. 122
- spin magnetization (μB per cell) = 0.00

a = 7.8064 Å, b = 7.8064 Å, c = 7.8064 Å
α = 101.51°, β = 101.51°, γ = 126.94°
Last column: nearest neighbours and their distance in Å.
Positions (direct):
Rb 0.0000 0.0000 0.0000  2 Ba 3.49, 4 Bi 3.64
Rb 0.7500 0.2500 0.5000  2 Ba 3.49, 4 Bi 3.64
Ba 0.2500 0.7500 0.5000  2 Rb 3.49, 4 Bi 3.56
Ba 0.5000 0.5000 0.0000  2 Rb 3.49, 4 Bi 3.56
Bi 0.1308 0.6250 0.0058  2 Bi 3.49, 2 Ba 3.56, 2 Rb 3.64
Bi 0.3750 0.3808 0.5058  2 Bi 3.49, 2 Ba 3.56, 2 Rb 3.64
Bi 0.6192 0.1250 0.9942  2 Bi 3.49, 2 Ba 3.56, 2 Rb 3.64
Bi 0.8750 0.8692 0.4942  2 Bi 3.49, 2 Ba 3.56, 2 Rb 3.64

---

y:
First-principles (PBE) data for an optimized crystal structure of RbBaBi2, as listed in Alexandria.

Values from the calculation:
- symmetry = P4/mmm, No. 123
- spin magnetization (μB per cell) = 0.00

a = 5.4265 Å, b = 5.4265 Å, c = 5.2585 Å
α = 90.00°, β = 90.00°, γ = 90.00°
Last column: nearest neighbours and their distance in Å.
Positions (direct):
Rb 0.0000 0.0000 0.0000  8 Bi 3.78, 4 Ba 3.84
Ba 0.5000 0.5000 0.0000  8 Bi 3.78, 4 Rb 3.84
Bi 0.0000 0.5000 0.5000  4 Ba 3.78, 4 Rb 3.78, 4 Bi 3.84
Bi 0.5000 0.0000 0.5000  4 Ba 3.78, 4 Rb 3.78, 4 Bi 3.84

---

The winner here is w, beating the second structure by 5.6 kJ/mol of atoms.